A plane-wave DFT calculation with PBE-GGA was carried out for a relaxed structure of Ac3PmCo.

Geometry as POSCAR:
```
Ac3PmCo
1.0
7.2043 0.1181 -2.8799
-3.5180 6.3634 -2.7093
0.2571 -0.1107 7.8096
Pm Ac Co
2 6 2
Cartesian
-1.1368 6.1327 -1.4063
5.0802 0.2381 3.6267
0.4069 3.3994 4.2105
3.5365 2.9714 -1.9901
3.7022 3.4665 1.9368
0.2412 2.9043 0.2835
-1.9630 6.0546 2.4831
5.9064 0.3162 -0.2627
2.2018 1.5420 3.2404
1.7416 4.8288 -1.0200
```

calculated formation energy: -28.8 meV per atom
crystal system: monoclinic
spin magnetization: 0.00 μB/cell
SG: C2/m (12)

A plane-wave DFT calculation with PBE-GGA was carried out for a relaxed structure of AcPmCo4.

Geometry as POSCAR:
```
AcPmCo4
1.0
5.2411 0.0000 0.0000
2.6206 4.5390 0.0000
2.6206 1.5130 4.2794
Co Ac Pm
4 1 1
Cartesian
5.2411 1.5037 2.6779
5.2411 3.0260 0.5251
6.5594 3.7871 2.6779
3.9229 3.7871 2.6779
2.6206 1.5130 1.0698
0.0000 0.0000 0.0000
```

calculated formation energy: 63.2 meV per atom
crystal system: cubic
spin magnetization: 3.55 μB/cell
SG: F-43m (216)

A plane-wave DFT calculation with PBE-GGA was carried out for a relaxed structure of AcPm3Co2.

Geometry as POSCAR:
```
AcPm3Co2
1.0
-0.9786 -2.7662 2.5091
5.4540 -6.5606 -2.1356
7.2248 1.3799 7.3093
Pm Co Ac
6 4 2
Cartesian
4.0203 -6.6653 0.1600
1.3432 -2.3817 3.8385
6.8296 -5.3673 2.6867
4.8707 -2.5796 4.9961
10.3571 -5.5652 3.8443
7.6800 -1.2816 7.5228
3.4719 -0.5277 3.7426
9.8046 -3.1186 6.3262
1.8957 -4.8283 1.3566
8.2284 -7.4193 3.9402
7.6175 -4.9668 6.4058
4.0828 -2.9802 1.2770
```

calculated formation energy: -39.8 meV per atom
crystal system: monoclinic
spin magnetization: 0.04 μB/cell
SG: C2/m (12)

A plane-wave DFT calculation with PBE-GGA was carried out for a relaxed structure of AcPm12Co5.

Geometry as POSCAR:
```
AcPm12Co5
1.0
8.1082 0.0609 -3.0819
-4.1964 7.1349 -2.5940
0.0060 -0.0609 8.6742
Pm Co Ac
12 5 1
Cartesian
1.5565 -0.0374 6.4244
3.1182 1.3005 0.6360
-0.3233 4.9310 -2.7186
1.2621 2.2038 3.6638
-0.0532 2.7308 0.0772
0.7996 5.8344 2.3622
2.6557 4.9310 -0.6655
4.2411 2.2038 5.7169
6.4099 1.3005 2.9046
2.3613 7.1722 -3.4262
-2.4921 5.8344 0.0936
3.9710 4.4041 2.9211
0.3251 6.3509 -0.4717
2.4202 4.4519 -3.5116
0.0000 0.0000 0.0000
1.4916 2.7439 -2.1643
3.5927 0.7840 3.4700
-2.0952 3.5370 3.0401
```

calculated formation energy: -44.0 meV per atom
crystal system: orthorhombic
spin magnetization: 0.00 μB/cell
SG: Immm (71)